Sc4PSe2S | GGA-PBE | relaxed

Structure (POSCAR):
```
Sc4PSe2S
1.0
-2.0065 2.6589 -1.7788
-0.6481 -4.0179 -5.2748
-5.4108 -3.6062 0.7127
Sc P Se S
4 1 2 1
Cartesian
-4.5991 -5.6583 -3.2704
-3.4662 0.6932 -3.0706
-2.8476 -2.4918 -4.5210
-5.2177 -2.4734 -1.8200
-1.3273 -0.6795 -3.5268
-5.4108 -3.6062 0.7127
-3.7086 -0.4736 -0.5331
-3.0295 -3.8120 -2.2810
```

DOS(E_F): 3.5 states/eV/f.u.
electronic total energy: -6.93 eV/atom
M_tot: 0.0 μB/f.u.

Cr2HgRu | GGA-PBE | relaxed

Structure (POSCAR):
```
Cr2HgRu
1.0
4.5213 0.0000 0.0000
0.0000 4.5213 0.0000
0.0000 0.0000 3.0785
Cr Hg Ru
2 1 1
Cartesian
0.0000 0.0000 0.0000
2.2607 2.2607 0.0000
2.2607 0.0000 1.5393
0.0000 2.2607 1.5393
```

DOS(E_F): 6.7 states/eV/f.u.
electronic total energy: -6.62 eV/atom
M_tot: 5.9 μB/f.u.
energy relative to the elements: 2.35 eV per formula unit

Y3P2Pt9 | GGA-PBE | relaxed

Structure (POSCAR):
```
Y3P2Pt9
1.0
-2.9923 3.0443 4.6329
-1.4277 -6.0052 -1.2591
10.2894 -4.4533 9.5722
Y P Pt
6 4 18
Cartesian
7.7170 -3.3400 7.1791
2.5723 -1.1133 2.3930
7.0480 -4.0919 11.5241
-1.1786 -3.3222 1.4218
2.4248 -4.8818 4.7741
3.4445 -2.5323 8.1719
-0.9204 -0.6432 4.1112
6.7897 -6.7709 8.8347
4.7459 -5.8863 6.9333
1.1235 -1.5278 6.0126
6.1209 -1.9711 9.5317
4.1376 -3.2996 11.0455
5.4803 -4.6656 8.9668
-0.2515 -5.4430 3.4142
1.7317 -4.1145 1.9004
0.3891 -2.7485 3.9792
8.6047 -5.4327 9.1277
6.1553 -7.0735 10.9973
7.8136 -8.7606 8.4299
-2.7354 -1.9813 3.8182
-0.2860 -0.3406 1.9486
-1.9442 1.3465 4.5160
0.7781 -3.5020 7.0868
3.2275 -1.8612 5.2172
1.5693 -0.1742 7.7846
5.0912 -3.9121 5.8591
2.6418 -5.5529 7.7287
4.3001 -7.2399 5.1613
```

DOS(E_F): 6.4 states/eV/f.u.
electronic total energy: -6.93 eV/atom
M_tot: 0.0 μB/f.u.
energy relative to the elements: -12.38 eV per formula unit

YMgTlHg | GGA-PBE | relaxed

Structure (POSCAR):
```
YMgTlHg
1.0
-1.1113 -4.9812 0.8650
3.5779 -3.1329 2.0442
-0.5388 -1.7273 4.8499
Y Tl Mg Hg
1 1 1 1
Cartesian
1.4459 -7.3811 5.8193
0.0000 0.0000 0.0000
0.4820 -2.4604 1.9398
0.9639 -4.9207 3.8796
```

DOS(E_F): 0.4 states/eV/f.u.
electronic total energy: -3.04 eV/atom
M_tot: 0.0 μB/f.u.
energy relative to the elements: -1.43 eV per formula unit

AlTeF2 | GGA-PBE | relaxed

Structure (POSCAR):
```
AlTeF2
1.0
10.0992 0.0108 0.0064
9.5972 3.1447 0.0064
9.5972 1.5376 2.7432
Te Al F
1 1 2
Cartesian
14.6468 2.3466 1.3780
0.0000 0.0000 0.0000
27.6508 4.4299 2.6014
1.6427 0.2632 0.1545
```

DOS(E_F): 1.9 states/eV/f.u.
electronic total energy: -4.16 eV/atom
M_tot: 0.5 μB/f.u.
excess energy over the best structure of this formula in the dataset: 308 meV per atom

Li5Mg2ZnAg2 | GGA-PBE | relaxed

Structure (POSCAR):
```
Li5Mg2ZnAg2
1.0
-0.3177 3.8853 -1.0495
-4.5418 1.8373 8.1769
8.3471 1.8243 4.2265
Li Mg Zn Ag
10 4 2 4
Cartesian
-0.4565 2.4242 1.3480
3.9440 5.1227 10.0059
6.2607 3.5422 3.4532
0.2870 4.0016 6.9628
-2.7732 4.0047 7.9007
3.2006 3.5452 4.3912
3.0406 4.2533 7.0610
0.4470 3.2935 4.2929
-2.4298 2.8613 3.5637
4.0147 2.8548 1.5885
-1.6097 1.5549 6.2438
5.4150 2.1066 6.1596
1.9339 0.9144 2.7997
1.8714 2.7471 9.6037
0.0000 0.0000 0.0000
1.9026 1.8308 6.2017
4.6368 1.3578 3.6230
-0.8315 2.3037 8.7804
4.5073 2.7445 8.7958
-0.7020 0.9170 3.6076
```

DOS(E_F): 3.6 states/eV/f.u.
electronic total energy: -2.08 eV/atom
M_tot: 0.0 μB/f.u.
energy relative to the elements: -1.09 eV per formula unit

Number 5 is which compound?
AlTeF2

Which value of electronic total energy does entry 5 give?
-4.16 eV/atom

Please write out number 2 again, unchanged.
Cr2HgRu | GGA-PBE | relaxed

Structure (POSCAR):
```
Cr2HgRu
1.0
4.5213 0.0000 0.0000
0.0000 4.5213 0.0000
0.0000 0.0000 3.0785
Cr Hg Ru
2 1 1
Cartesian
0.0000 0.0000 0.0000
2.2607 2.2607 0.0000
2.2607 0.0000 1.5393
0.0000 2.2607 1.5393
```

DOS(E_F): 6.7 states/eV/f.u.
electronic total energy: -6.62 eV/atom
M_tot: 5.9 μB/f.u.
energy relative to the elements: 2.35 eV per formula unit